Version A
Sc2Si2Te: optimized geometry, PBE.

The structure in POSCAR format:
```
Sc2Si2Te
1.0
7.3813 0.0000 0.0000
0.0000 7.3813 0.0000
0.0000 0.0000 3.6883
Sc Si Te
4 4 2
Cartesian
1.3802 5.0708 1.8441
5.0708 6.0011 1.8441
6.0011 2.3105 1.8441
2.3105 1.3802 1.8441
2.8776 6.5682 0.0000
6.5682 4.5038 0.0000
4.5038 0.8131 0.0000
0.8131 2.8776 0.0000
0.0000 0.0000 0.0000
3.6907 3.6907 0.0000
```

## Properties
Crystal system: tetragonal

---

Version B
Sc2Si2Te: optimized geometry, PBE.

The structure in POSCAR format:
```
Sc2Si2Te
1.0
-2.5819 -6.8888 1.5299
6.0194 -3.0003 -3.3509
1.8603 0.0375 3.3081
Sc Si Te
4 4 2
Cartesian
4.1176 -4.6875 -2.2624
1.9561 -7.6980 -1.0128
-0.6802 -5.2016 0.4414
1.4813 -2.1911 -0.8082
4.3153 -2.5617 -0.2203
4.7189 -6.8508 -0.3987
0.9824 -7.2899 1.7075
0.5788 -3.0009 1.8858
0.0000 0.0000 0.0000
1.7187 -4.9446 -0.9105
```

## Properties
Crystal system: tetragonal

---

Version C
Sc2Si2Te: optimized geometry, PBE.

The structure in POSCAR format:
```
Sc2Si2Te
1.0
-1.7307 0.2805 -3.2176
-0.9994 -3.5177 0.2309
-7.6988 0.4161 2.0908
Sc Si Te
2 2 1
Cartesian
-2.7799 -1.1641 -0.6927
-7.6490 -1.6570 -0.2031
-5.3972 -0.4610 -1.3100
-5.0316 -2.3601 0.4142
0.0000 0.0000 0.0000
```

## Properties
Crystal system: tetragonal

---

Energy ordering: version C at the bottom, the next structure 15.3 kJ/mol of atoms above.

---

Version A
Sc4SiTe: optimized geometry, PBE.

The structure in POSCAR format:
```
Sc4SiTe
1.0
0.0000 4.0578 4.0578
4.0578 0.0000 4.0578
4.0578 4.0578 0.0000
Sc Si Te
4 1 1
Cartesian
3.0512 5.0645 5.0645
5.0645 5.0645 3.0512
5.0645 3.0512 5.0645
3.0512 3.0512 3.0512
6.0867 6.0867 6.0867
0.0000 0.0000 0.0000
```

## Properties
Crystal system: cubic

---

Version B
Sc4SiTe: optimized geometry, PBE.

The structure in POSCAR format:
```
Sc4SiTe
1.0
5.5921 -0.6447 0.0000
-1.6243 7.6005 0.0000
-1.9839 -3.4779 6.2537
Sc Si Te
8 2 2
Cartesian
-0.7603 4.5415 3.9515
3.6994 4.8475 1.0950
0.0518 0.7412 2.3022
-1.0806 1.6920 5.1587
2.7443 -1.0636 2.3022
1.9321 2.7367 3.9515
-1.7155 -1.3696 5.1587
3.0645 1.7860 1.0950
0.5859 3.6391 6.2449
1.3980 -0.1612 0.0089
0.5859 3.6391 1.4427
1.3980 -0.1612 4.8110
```

## Properties
Crystal system: monoclinic

---

Energy ordering: version B at the bottom, the next structure 71.4 kJ/mol of atoms above.

---

Version A
ScSi2Te2: optimized geometry, PBE.

The structure in POSCAR format:
```
ScSi2Te2
1.0
5.5812 0.0000 0.0000
0.0000 5.5812 0.0000
2.7906 2.7906 3.8355
Sc Si Te
1 2 2
Cartesian
0.0000 0.0000 0.0000
2.7906 2.7906 1.1685
5.5812 5.5812 2.6670
5.5812 2.7906 1.9177
2.7906 5.5812 1.9177
```

## Properties
Crystal system: tetragonal

---

Version B
ScSi2Te2: optimized geometry, PBE.

The structure in POSCAR format:
```
ScSi2Te2
1.0
-5.6014 4.2101 2.2636
-3.0876 -0.5247 -6.6645
-2.0132 -3.3205 1.1941
Sc Si Te
2 4 4
Cartesian
0.0000 0.0000 0.0000
-4.3445 1.8427 -2.2005
-4.8379 1.1348 -5.0007
-6.8413 3.3753 -2.1480
-3.8511 2.5506 0.5998
-1.8477 0.3100 -2.2530
-4.2812 -1.1885 -3.6119
-7.3956 0.8632 -3.1573
-6.4210 1.5534 0.4050
-3.3065 -0.4983 -0.0496
```

## Properties
Crystal system: tetragonal

---

Energy ordering: version B at the bottom, the next structure 6.1 kJ/mol of atoms above.

---

Version A
ScSiTe4: optimized geometry, PBE.

The structure in POSCAR format:
```
ScSiTe4
1.0
-4.0888 -3.6612 -2.9171
-5.2293 -1.7303 2.8797
-5.4709 2.3028 -1.8434
Sc Si Te
1 1 4
Cartesian
-11.0918 -2.3165 -1.4106
0.0000 0.0000 0.0000
-7.5901 -2.9877 -2.1628
-8.2806 -0.0080 -1.6264
-8.1599 -2.0230 0.7333
-5.5474 -1.1585 -0.7055
```

## Properties
Crystal system: cubic

---

Version B
ScSiTe4: optimized geometry, PBE.

The structure in POSCAR format:
```
ScSiTe4
1.0
-0.9051 0.5275 -6.8170
-6.7967 -0.8184 0.8391
-0.9752 8.9408 0.8214
Sc Si Te
2 2 8
Cartesian
0.0000 0.0000 0.0000
-0.4876 4.4704 0.4107
-3.6421 1.8260 0.6249
-1.1840 6.9694 -2.7924
-2.7882 7.8105 -1.0059
-6.6287 7.6233 -3.5273
-2.5220 3.2896 -1.1289
-5.9851 5.0817 -0.7926
-2.9272 5.7251 -4.1657
-5.2081 0.6222 -0.9787
-2.7290 1.2438 -4.8010
-5.9198 3.2035 -4.2257
```

## Properties
Crystal system: tetragonal

---

Energy ordering: version B at the bottom, the next structure 81.1 kJ/mol of atoms above.

---

Version A
ScSiTe3: optimized geometry, PBE.

The structure in POSCAR format:
```
ScSiTe3
1.0
-2.0611 4.8038 -0.3466
-4.4795 -2.0505 -1.7819
-1.7696 -0.4047 4.9143
Sc Si Te
1 1 3
Cartesian
-4.1551 1.1743 1.3929
0.0000 0.0000 0.0000
-2.2397 -1.0253 -0.8909
-0.8848 -0.2023 2.4571
-1.0306 2.4019 -0.1733
```

## Properties
Crystal system: cubic

---

Version B
ScSiTe3: optimized geometry, PBE.

The structure in POSCAR format:
```
ScSiTe3
1.0
5.5052 0.0000 0.0000
0.0000 5.5052 0.0000
0.0000 0.0000 5.5052
Sc Si Te
1 1 3
Cartesian
0.0000 0.0000 0.0000
2.7526 2.7526 2.7526
0.0000 2.7526 0.0000
0.0000 0.0000 2.7526
2.7526 0.0000 0.0000
```

## Properties
Crystal system: cubic

---

Energy ordering: version A at the bottom, the next structure 9.6 kJ/mol of atoms above.

---

Version A
ThScSi2: optimized geometry, PBE.

The structure in POSCAR format:
```
ThScSi2
1.0
3.3666 0.0000 0.0000
0.0000 5.2528 0.1782
0.0000 -1.5597 5.0191
Th Sc Si
1 1 2
Cartesian
0.0000 -1.4585 4.9472
1.6833 2.4790 2.1492
1.6833 -0.1931 2.5606
1.6833 1.2116 4.5373
```

## Properties
Crystal system: orthorhombic

---

Version B
ThScSi2: optimized geometry, PBE.

The structure in POSCAR format:
```
ThScSi2
1.0
4.4606 0.0000 0.0000
2.2303 3.8630 0.0000
2.2303 1.2877 5.1563
Sc Si Th
1 2 1
Cartesian
4.4606 2.5753 2.5782
6.6910 3.8630 3.5710
2.2303 1.2877 1.5853
0.0000 0.0000 0.0000
```

## Properties
Crystal system: trigonal

---

Energy ordering: version B at the bottom, the next structure 16.7 kJ/mol of atoms above.